No. 1
# Pm2DyTm5

Crystalline Pm2DyTm5 at its relaxed geometry (PBE, the Alexandria database).

Unit cell a=7.0689 b=14.1387 c=4.9930 alpha=90.00 beta=90.00 gamma=90.00
With the nearest neighbours (Å) after each atom.
Space group Pbam (No. 55)
Inequivalent atoms, fractional coordinates:
Pm1 0.2489 0.1253 0.0000 (multiplicity 4)  10 Tm 3.53-3.54, 2 Dy 3.54
Dy1 0.0000 0.5000 0.5000 (multiplicity 2)  8 Tm 3.53-3.54, 4 Pm 3.54
Tm1 0.0000 0.0000 0.5000 (multiplicity 2)  4 Pm 3.53, 6 Tm 3.53-3.54, 2 Dy 3.53
Tm2 0.0009 0.7503 0.5000 (multiplicity 4)  4 Pm 3.53, 7 Tm 3.53, 1 Dy 3.54
Tm3 0.2492 0.3749 0.0000 (multiplicity 4)  4 Pm 3.53-3.54, 6 Tm 3.53-3.54, 2 Dy 3.53

Results
Calculated formation energy: 0.024 eV/atom
Polymorph energy (0 for the lowest one): 0.000 eV/atom
Total magnetization: 0.000 μB per formula unit



No. 2
# Pm4Dy5Tm

Crystalline Pm4Dy5Tm at its relaxed geometry (PBE, the Alexandria database).

Unit cell a=10.6440 b=10.6440 c=5.9496 alpha=90.00 beta=90.00 gamma=90.00
With the nearest neighbours (Å) after each atom.
Space group I4mm (No. 107)
Inequivalent atoms, fractional coordinates:
Pm1 0.0000 0.3230 0.0000 (multiplicity 8)  2 Dy 3.32, 1 Tm 3.71
Dy1 0.0000 0.0000 0.7571 (multiplicity 2)  2 Tm 2.83-3.12
Dy2 0.1886 0.1886 0.4926 (multiplicity 8)  1 Tm 3.23, 3 Dy 3.25-3.50, 2 Pm 3.32
Tm1 0.0000 0.0000 0.2325 (multiplicity 2)  2 Dy 2.83-3.12

Results
Calculated formation energy: 0.242 eV/atom
Polymorph energy (0 for the lowest one): 0.056 eV/atom
Total magnetization: 0.000 μB per formula unit



No. 3
# Pm2DyTm5

Crystalline Pm2DyTm5 at its relaxed geometry (PBE, the Alexandria database).

Unit cell a=16.0886 b=9.7847 c=6.4867 alpha=90.00 beta=98.97 gamma=90.00
With the nearest neighbours (Å) after each atom.
Space group C2/c (No. 15)
Inequivalent atoms, fractional coordinates:
Pm1 0.0790 0.2442 0.1184 (multiplicity 8)  1 Dy 2.97, 2 Tm 3.18-3.30, 1 Pm 3.28
Dy1 0.2500 0.2500 0.0000 (multiplicity 4)  2 Pm 2.97
Tm1 0.0000 0.4423 0.7500 (multiplicity 4)  4 Pm 3.18-3.48, 2 Tm 3.43
Tm2 0.1005 0.0908 0.6469 (multiplicity 8)  3 Pm 3.30-3.47, 1 Dy 3.43, 3 Tm 3.59-3.69
Tm3 0.1976 0.4127 0.5249 (multiplicity 8)  2 Dy 3.42-3.45, 1 Pm 3.43, 7 Tm 3.59-3.71

Results
Calculated formation energy: 0.173 eV/atom
Polymorph energy (0 for the lowest one): 0.149 eV/atom
Total magnetization: 0.000 μB per formula unit